A relaxed structure of BeAg2Ru. Source: the Alexandria database, functional PBEsol.

The space group is R-3m (No. 166, hexagonal axes) and the conventional cell measures 2.7148, 2.7148 and 25.8409 Å, with angles of 90.00, 90.00 and 120.00 degrees. The distinct sites, in fractional coordinates, are Be at (0.0000, 0.0000, 0.0000), Ag at (0.0000, 0.0000, 0.2579) and Ru at (0.0000, 0.0000, 0.5000).

The value obtained for the formation energy is 0.38 eV per atom. The crystal system is trigonal. The density comes out at 9841 kg/m³.

=====

A relaxed structure of MoAsPbCl2. Source: the Alexandria database, functional PBEsol.

The space group is P4/mmm (No. 123) and the conventional cell measures 4.951, 4.951 and 5.104 Å, with angles of 90.00, 90.00 and 90.00 degrees. The distinct sites, in fractional coordinates, are Mo at (0.000, 0.000, 0.000), As at (0.000, 0.000, 0.500), Pb at (0.500, 0.500, 0.000) and Cl at (0.000, 0.500, 0.500).

The crystal system is tetragonal. The density comes out at 5959 kg/m³. The value obtained for the uncorrected formation energy is 0.606 eV per atom.

=====

A relaxed structure of Ca6Pb2SeN. Source: the Alexandria database, functional PBEsol.

The space group is Fm-3m (No. 225) and the conventional cell measures 10.265, 10.265 and 10.265 Å, with angles of 90.00, 90.00 and 90.00 degrees. The distinct sites, in fractional coordinates, are Ca at (0.000, 0.000, 0.231), Pb at (0.250, 0.250, 0.250), Se at (0.000, 0.000, 0.500) and N at (0.000, 0.000, 0.000).

The crystal system is cubic. The density comes out at 4592 kg/m³. The value obtained for the uncorrected formation energy is -0.977 eV per atom.